[1]
The following is a DFT calculation (PBE-GGA) of an optimized crystal structure of AcHf2Re.

Computed properties:
Its mass density is 13.1 g cm⁻³. The electronic total energy is -36.4 eV per formula unit. The total magnetization is 0.0 Bohr magnetons per cell.

Lattice parameters (Å, degrees): 3.3774 3.3774 8.5462 90.00 90.00 90.00
Space group P4/mmm (No. 123)
Inequivalent atoms, fractional coordinates:
Ac 0.0000 0.0000 0.0000
Hf 0.5000 0.5000 0.3222
Re 0.0000 0.0000 0.5000


[2]
The following is a DFT calculation (PBE-GGA) of an optimized crystal structure of AcHfRh.

Computed properties:
Its mass density is 11.4 g cm⁻³. The electronic total energy is -22.1 eV per formula unit. The total magnetization is 0.0 Bohr magnetons per cell.

Lattice parameters (Å, degrees): 12.0382 4.9480 4.9848 90.00 90.00 90.00
Space group Amm2 (No. 38)
Inequivalent atoms, fractional coordinates:
Ac 0.1589 0.0000 0.0000
Hf 0.3815 0.0000 0.5009
Rh 0.0000 0.0000 0.4994
Rh 0.5000 0.0000 0.0010


[3]
The following is a DFT calculation (PBE-GGA) of an optimized crystal structure of AcHf2Rh2.

Computed properties:
Its mass density is 11.3 g cm⁻³. The electronic total energy is -42.2 eV per formula unit. The total magnetization is 0.0 Bohr magnetons per cell.

Lattice parameters (Å, degrees): 4.5279 4.5279 11.3610 90.00 90.00 90.00
Space group I4/mmm (No. 139)
Inequivalent atoms, fractional coordinates:
Ac 0.0000 0.0000 0.0000
Hf 0.0000 0.5000 0.2500
Rh 0.0000 0.0000 0.3754